The following is a DFT calculation (PBE) of Ta3ZnIn after structural relaxation.

Unit cell a=4.7105 b=4.7105 c=4.7105 alpha=90.00 beta=90.00 gamma=90.00
Space group Pm-3m (No. 221)
Unique sites:
Ta 0.0000 0.0000 0.5000
Zn 0.0000 0.0000 0.0000
In 0.5000 0.5000 0.5000

Values from the calculation:
DFT formation energy in meV per atom: 1105
ΔE to the lowest computed polymorph in eV per formula unit: 0.00

---

The following is a DFT calculation (PBE) of Ta2ZnIn after structural relaxation.

Unit cell a=5.6808 b=8.8515 c=2.8757 alpha=90.00 beta=90.00 gamma=90.00
Space group Cmmm (No. 65)
Unique sites:
Ta 0.2500 0.2500 0.0000
Zn 0.0000 0.0000 0.5000
In 0.0000 0.5000 0.5000

Values from the calculation:
DFT formation energy in meV per atom: 159

---

The following is a DFT calculation (PBE) of Ta2ZnIn after structural relaxation.

Unit cell a=3.4225 b=4.8454 c=9.0460 alpha=90.00 beta=90.00 gamma=90.00
Space group Cmm2 (No. 35)
Unique sites:
Ta 0.0000 0.0000 0.0000
Ta 0.0000 0.5000 0.2407
Zn 0.0000 0.0000 0.4778
In 0.0000 0.5000 0.7302

Values from the calculation:
DFT formation energy in meV per atom: 117